1.
The following is a PBE calculation of a geometry-optimized Be2Fe2Ni structure, from Alexandria via LeMat-Bulk.

abc: 6.444 6.444 2.450
angles: 90.00 90.00 90.00
Positions (direct):
Be (0.175, 0.325, 0.000)
Be (0.325, 0.825, 0.000)
Be (0.675, 0.175, 0.000)
Be (0.825, 0.675, 0.000)
Fe (0.124, 0.624, 0.500)
Fe (0.376, 0.124, 0.500)
Fe (0.624, 0.876, 0.500)
Fe (0.876, 0.376, 0.500)
Ni (0.000, 0.000, 0.500)
Ni (0.500, 0.500, 0.500)

Electronic total energy, eV per atom: -5.9329
Magnetic moment, μB/atom: 0.85
Calculated formation energy, eV per formula unit: 0.49
DOS(E_F), states/eV/atom: 0.7060

***

2.
The following is a PBE calculation of a geometry-optimized CrRu2Br structure, from Alexandria via LeMat-Bulk.

abc: 2.890 4.834 9.233
angles: 90.00 90.00 90.00
Positions (direct):
Cr (0.000, 0.000, 0.000)
Cr (0.500, 0.500, 0.000)
Ru (0.000, 0.500, 0.209)
Ru (0.000, 0.500, 0.791)
Ru (0.500, 0.000, 0.209)
Ru (0.500, 0.000, 0.791)
Br (0.000, 0.000, 0.500)
Br (0.500, 0.500, 0.500)

Electronic total energy, eV per atom: -6.7134
Magnetic moment, μB/atom: 0.20
DOS(E_F), states/eV/atom: 1.3121
Energy relative to the elements, uncorrected, meV per atom: 749

***

3.
The following is a PBE calculation of a geometry-optimized LiCd3Hg2 structure, from Alexandria via LeMat-Bulk.

abc: 7.208 7.208 10.027
angles: 115.08 115.08 34.35
Positions (direct):
Li (0.129, 0.129, 0.115)
Li (0.871, 0.871, 0.885)
Cd (0.043, 0.043, 0.370)
Cd (0.289, 0.289, 0.626)
Cd (0.378, 0.378, 0.377)
Cd (0.622, 0.622, 0.623)
Cd (0.711, 0.711, 0.374)
Cd (0.957, 0.957, 0.630)
Hg (0.216, 0.216, 0.874)
Hg (0.472, 0.472, 0.128)
Hg (0.528, 0.528, 0.872)
Hg (0.784, 0.784, 0.126)

Electronic total energy, eV per atom: -0.9900
Magnetic moment, μB/atom: 0.00
Calculated formation energy, eV per formula unit: -0.68
DOS(E_F), states/eV/atom: 0.2344

***

4.
The following is a PBE calculation of a geometry-optimized Th2Sc2Tl3 structure, from Alexandria via LeMat-Bulk.

abc: 4.601 24.214 3.374
angles: 90.00 90.00 90.00
Positions (direct):
Th (0.000, 0.076, 0.000)
Th (0.000, 0.924, 0.000)
Th (0.500, 0.424, 0.000)
Th (0.500, 0.576, 0.000)
Sc (0.000, 0.208, 0.000)
Sc (0.000, 0.792, 0.000)
Sc (0.500, 0.292, 0.000)
Sc (0.500, 0.708, 0.000)
Tl (0.000, 0.337, 0.500)
Tl (0.000, 0.500, 0.500)
Tl (0.000, 0.663, 0.500)
Tl (0.500, 0.000, 0.500)
Tl (0.500, 0.163, 0.500)
Tl (0.500, 0.837, 0.500)

Electronic total energy, eV per atom: -5.0360
Magnetic moment, μB/atom: 0.03
Calculated formation energy, eV per formula unit: -0.65
DOS(E_F), states/eV/atom: 0.9734

***

5.
The following is a PBE calculation of a geometry-optimized Dy4ZnBr5 structure, from Alexandria via LeMat-Bulk.

abc: 9.333 9.333 8.557
angles: 102.11 102.11 24.32
Positions (direct):
Dy (0.001, 0.001, 0.230)
Dy (0.347, 0.347, 0.921)
Dy (0.653, 0.653, 0.079)
Dy (0.999, 0.999, 0.770)
Zn (0.500, 0.500, 0.000)
Br (0.167, 0.167, 0.333)
Br (0.175, 0.175, 0.836)
Br (0.500, 0.500, 0.500)
Br (0.825, 0.825, 0.164)
Br (0.833, 0.833, 0.667)

Electronic total energy, eV per atom: -4.0845
Magnetic moment, μB/atom: 0.00
DOS(E_F), states/eV/atom: 0.3250
Energy relative to the elements, uncorrected, meV per atom: -1280

***

6.
The following is a PBE calculation of a geometry-optimized YTlAgTe3 structure, from Alexandria via LeMat-Bulk.

abc: 8.083 8.083 11.473
angles: 90.00 90.00 149.53
Positions (direct):
Y (0.000, 0.000, 0.000)
Y (0.000, 0.000, 0.500)
Tl (0.239, 0.761, 0.750)
Tl (0.761, 0.239, 0.250)
Ag (0.463, 0.537, 0.250)
Ag (0.537, 0.463, 0.750)
Te (0.081, 0.919, 0.250)
Te (0.361, 0.639, 0.049)
Te (0.361, 0.639, 0.451)
Te (0.639, 0.361, 0.549)
Te (0.639, 0.361, 0.951)
Te (0.919, 0.081, 0.750)

Electronic total energy, eV per atom: -4.2012
Magnetic moment, μB/atom: 0.00
DOS(E_F), states/eV/atom: 0.5915
Energy relative to the elements, uncorrected, meV per atom: -683

***

7.
The following is a PBE calculation of a geometry-optimized Li2ScZn structure, from Alexandria via LeMat-Bulk.

abc: 7.461 7.461 5.572
angles: 90.00 90.00 90.00
Positions (direct):
Li (0.209, 0.250, 0.125)
Li (0.250, 0.709, 0.375)
Li (0.250, 0.791, 0.875)
Li (0.291, 0.250, 0.625)
Li (0.709, 0.750, 0.625)
Li (0.750, 0.209, 0.875)
Li (0.750, 0.291, 0.375)
Li (0.791, 0.750, 0.125)
Sc (0.000, 0.000, 0.500)
Sc (0.000, 0.500, 0.750)
Sc (0.500, 0.000, 0.250)
Sc (0.500, 0.500, 0.000)
Zn (0.000, 0.000, 0.000)
Zn (0.000, 0.500, 0.250)
Zn (0.500, 0.000, 0.750)
Zn (0.500, 0.500, 0.500)

Electronic total energy, eV per atom: -2.6885
Magnetic moment, μB/atom: 0.00
Calculated formation energy, eV per formula unit: 0.68
DOS(E_F), states/eV/atom: 1.1095

***

8.
The following is a PBE calculation of a geometry-optimized ReTcCl2 structure, from Alexandria via LeMat-Bulk.

abc: 2.963 2.963 24.697
angles: 90.00 90.00 120.00
Positions (direct):
Re (0.000, 0.000, 0.000)
Re (0.333, 0.667, 0.667)
Re (0.667, 0.333, 0.333)
Tc (0.000, 0.000, 0.500)
Tc (0.333, 0.667, 0.167)
Tc (0.667, 0.333, 0.833)
Cl (0.000, 0.000, 0.092)
Cl (0.000, 0.000, 0.908)
Cl (0.333, 0.667, 0.574)
Cl (0.333, 0.667, 0.759)
Cl (0.667, 0.333, 0.241)
Cl (0.667, 0.333, 0.426)

Electronic total energy, eV per atom: -5.9557
Magnetic moment, μB/atom: 0.00
DOS(E_F), states/eV/atom: 0.8449
Energy relative to the elements, uncorrected, meV per atom: 671

***

9.
The following is a PBE calculation of a geometry-optimized Zn8AgAu3 structure, from Alexandria via LeMat-Bulk.

abc: 6.118 6.118 7.599
angles: 116.27 116.27 84.18
Positions (direct):
Zn (0.000, 0.000, 0.000)
Zn (0.021, 0.538, 0.047)
Zn (0.244, 0.767, 0.499)
Zn (0.273, 0.273, 0.547)
Zn (0.512, 0.512, 0.000)
Zn (0.538, 0.021, 0.047)
Zn (0.767, 0.244, 0.499)
Zn (0.787, 0.787, 0.547)
Ag (0.633, 0.633, 0.754)
Au (0.152, 0.152, 0.791)
Au (0.393, 0.893, 0.274)
Au (0.893, 0.393, 0.274)

Electronic total energy, eV per atom: -1.9757
Magnetic moment, μB/atom: 0.00
Calculated formation energy, eV per formula unit: -0.83
DOS(E_F), states/eV/atom: 0.3181

***

10.
The following is a PBE calculation of a geometry-optimized Ac2HoP3Pd12 structure, from Alexandria via LeMat-Bulk.

abc: 7.559 7.559 7.559
angles: 69.88 69.88 69.88
Positions (direct):
Ac (0.106, 0.106, 0.106)
Ac (0.894, 0.894, 0.894)
Ho (0.500, 0.500, 0.500)
P (0.000, 0.500, 0.500)
P (0.500, 0.000, 0.500)
P (0.500, 0.500, 0.000)
Pd (0.114, 0.643, 0.643)
Pd (0.213, 0.213, 0.631)
Pd (0.213, 0.631, 0.213)
Pd (0.357, 0.357, 0.886)
Pd (0.357, 0.886, 0.357)
Pd (0.369, 0.787, 0.787)
Pd (0.631, 0.213, 0.213)
Pd (0.643, 0.114, 0.643)
Pd (0.643, 0.643, 0.114)
Pd (0.787, 0.369, 0.787)
Pd (0.787, 0.787, 0.369)
Pd (0.886, 0.357, 0.357)

Electronic total energy, eV per atom: -5.5885
Magnetic moment, μB/atom: 0.00
Calculated formation energy, eV per formula unit: -9.25
DOS(E_F), states/eV/atom: 0.3467

***

11.
The following is a PBE calculation of a geometry-optimized Pm8Tl4CSe3 structure, from Alexandria via LeMat-Bulk.

abc: 9.281 9.281 9.281
angles: 51.72 51.72 51.72
Positions (direct):
Pm (0.240, 0.240, 0.240)
Pm (0.267, 0.715, 0.715)
Pm (0.285, 0.285, 0.733)
Pm (0.285, 0.733, 0.285)
Pm (0.715, 0.267, 0.715)
Pm (0.715, 0.715, 0.267)
Pm (0.733, 0.285, 0.285)
Pm (0.760, 0.760, 0.760)
Tl (0.000, 0.000, 0.000)
Tl (0.000, 0.500, 0.500)
Tl (0.500, 0.000, 0.500)
Tl (0.500, 0.500, 0.000)
C (0.500, 0.500, 0.500)
Se (0.000, 0.000, 0.500)
Se (0.000, 0.500, 0.000)
Se (0.500, 0.000, 0.000)

Electronic total energy, eV per atom: -5.0845
Magnetic moment, μB/atom: 0.00
DOS(E_F), states/eV/atom: 0.4795
Energy relative to the elements, uncorrected, meV per atom: -888

***

12.
The following is a PBE calculation of a geometry-optimized Cd2FeOs structure, from Alexandria via LeMat-Bulk.

abc: 5.533 9.545 2.749
angles: 90.00 113.98 90.00
Positions (direct):
Cd (0.250, 0.250, 0.000)
Cd (0.250, 0.750, 0.000)
Cd (0.750, 0.250, 0.000)
Cd (0.750, 0.750, 0.000)
Fe (0.000, 0.000, 0.500)
Fe (0.500, 0.500, 0.500)
Os (0.000, 0.500, 0.500)
Os (0.500, 0.000, 0.500)

Electronic total energy, eV per atom: -4.8023
Magnetic moment, μB/atom: 0.71
Calculated formation energy, eV per formula unit: 2.31
DOS(E_F), states/eV/atom: 0.7840